[1]
# Pm3Ag4Pd2, optimized geometry, DFT PBE
# V	22.4	Å³ per atom
# relative energy among the computed polymorphs	0	meV per atom
data_Pm3Ag4Pd2
_cell_length_a 5.3235
_cell_length_b 5.3373
_cell_length_c 8.6516
_cell_angle_alpha 87.10
_cell_angle_beta 72.16
_cell_angle_gamma 60.11
_space_group_name_H-M_alt 'P -1'
_space_group_IT_number 2
loop_
_space_group_symop_operation_xyz
'x,y,z'
'-x,-y,-z'
loop_
_atom_site_label
_atom_site_type_symbol
_atom_site_fract_x
_atom_site_fract_y
_atom_site_fract_z
_atom_site_occupancy
Pm1 Pm 0.0000 0.0000 0.0000 1
Pm2 Pm 0.2779 0.0897 0.3541 1
Ag1 Ag 0.3415 0.3286 0.9882 1
Ag2 Ag 0.3735 0.5806 0.6724 1
Pd1 Pd 0.0148 0.2660 0.7070 1

[2]
# PmAg3Pd2, optimized geometry, DFT PBE
# V	19.5	Å³ per atom
# total energy	-4.242	eV per atom
data_PmAg3Pd2
_cell_length_a 6.5761
_cell_length_b 8.3705
_cell_length_c 8.6177
_cell_angle_alpha 90.00
_cell_angle_beta 98.54
_cell_angle_gamma 90.00
_space_group_name_H-M_alt 'C 1 2/c 1'
_space_group_IT_number 15
loop_
_space_group_symop_operation_xyz
'x,y,z'
'-x,-y,-z'
'-x,y,-z+1/2'
'x,-y,z+1/2'
'x+1/2,y+1/2,z'
'-x+1/2,-y+1/2,-z'
'-x+1/2,y+1/2,-z+1/2'
'x+1/2,-y+1/2,z+1/2'
loop_
_atom_site_label
_atom_site_type_symbol
_atom_site_fract_x
_atom_site_fract_y
_atom_site_fract_z
_atom_site_occupancy
Pm1 Pm 0.0000 0.1443 0.2500 1
Ag1 Ag 0.0000 0.4573 0.7500 1
Ag2 Ag 0.2120 0.4059 0.0381 1
Pd1 Pd 0.1343 0.1731 0.6217 1

[3]
# Pm4AgPd12, optimized geometry, DFT PBE
# V	18.9	Å³ per atom
# total energy	-5.664	eV per atom
data_Pm4AgPd12
_cell_length_a 8.6359
_cell_length_b 8.6359
_cell_length_c 8.6359
_cell_angle_alpha 90.00
_cell_angle_beta 90.00
_cell_angle_gamma 90.00
_space_group_name_H-M_alt 'I m -3 m'
_space_group_IT_number 229
_space_group_name_Hall '-I 4 2 3'
loop_
_atom_site_label
_atom_site_type_symbol
_atom_site_fract_x
_atom_site_fract_y
_atom_site_fract_z
_atom_site_occupancy
Pm1 Pm 0.2500 0.2500 0.2500 1
Ag1 Ag 0.0000 0.0000 0.0000 1
Pd1 Pd 0.0000 0.0000 0.3029 1
Pd2 Pd 0.0000 0.2500 0.5000 1

[4]
# PmAgPd2, optimized geometry, DFT PBE
# V	19.8	Å³ per atom
# relative energy among the computed polymorphs	53	meV per atom
data_PmAgPd2
_cell_length_a 6.8159
_cell_length_b 6.8159
_cell_length_c 6.8159
_cell_angle_alpha 90.00
_cell_angle_beta 90.00
_cell_angle_gamma 90.00
_space_group_name_H-M_alt 'F m -3 m'
_space_group_IT_number 225
_space_group_name_Hall '-F 4 2 3'
loop_
_atom_site_label
_atom_site_type_symbol
_atom_site_fract_x
_atom_site_fract_y
_atom_site_fract_z
_atom_site_occupancy
Pm1 Pm 0.0000 0.0000 0.0000 1
Ag1 Ag 0.0000 0.0000 0.5000 1
Pd1 Pd 0.2500 0.2500 0.2500 1

[5]
# Pm8AgPd5, optimized geometry, DFT PBE
# V	26.5	Å³ per atom
# total energy	-5.333	eV per atom
data_Pm8AgPd5
_cell_length_a 9.0980
_cell_length_b 9.0980
_cell_length_c 8.9709
_cell_angle_alpha 90.00
_cell_angle_beta 90.00
_cell_angle_gamma 90.00
_space_group_name_H-M_alt 'I -4'
_space_group_IT_number 82
loop_
_space_group_symop_operation_xyz
'x,y,z'
'y,-x,-z'
'-x,-y,z'
'-y,x,-z'
'x+1/2,y+1/2,z+1/2'
'y+1/2,-x+1/2,-z+1/2'
'-x+1/2,-y+1/2,z+1/2'
'-y+1/2,x+1/2,-z+1/2'
loop_
_atom_site_label
_atom_site_type_symbol
_atom_site_fract_x
_atom_site_fract_y
_atom_site_fract_z
_atom_site_occupancy
Pm1 Pm 0.0575 0.3192 0.0671 1
Pm2 Pm 0.0638 0.1955 0.6794 1
Ag1 Ag 0.0000 0.0000 0.0000 1
Pd1 Pd 0.0000 0.5000 0.7500 1
Pd2 Pd 0.1269 0.2466 0.3702 1

[6]
# Pm12AgPd6, optimized geometry, DFT PBE
# V	30.9	Å³ per atom
# total energy	-5.161	eV per atom
data_Pm12AgPd6
_cell_length_a 13.4169
_cell_length_b 13.4169
_cell_length_c 11.3006
_cell_angle_alpha 90.00
_cell_angle_beta 90.00
_cell_angle_gamma 120.00
_space_group_name_H-M_alt 'R -3'
_space_group_IT_number 148
_space_group_name_Hall '-R 3'
loop_
_atom_site_label
_atom_site_type_symbol
_atom_site_fract_x
_atom_site_fract_y
_atom_site_fract_z
_atom_site_occupancy
Pm1 Pm 0.0294 0.8171 0.3837 1
Pm2 Pm 0.0385 0.8245 0.8853 1
Ag1 Ag 0.0000 0.0000 0.0000 1
Pd1 Pd 0.0440 0.7829 0.6414 1

[7]
# Pm5Ag4Pd, optimized geometry, DFT PBE
# V	25.4	Å³ per atom
# total energy	-4.401	eV per atom
data_Pm5Ag4Pd
_cell_length_a 3.6817
_cell_length_b 3.6817
_cell_length_c 18.7661
_cell_angle_alpha 90.00
_cell_angle_beta 90.00
_cell_angle_gamma 90.00
_space_group_name_H-M_alt 'P 4/m m m'
_space_group_IT_number 123
_space_group_name_Hall '-P 4 2'
loop_
_atom_site_label
_atom_site_type_symbol
_atom_site_fract_x
_atom_site_fract_y
_atom_site_fract_z
_atom_site_occupancy
Pm1 Pm 0.0000 0.0000 0.0000 1
Pm2 Pm 0.0000 0.0000 0.2034 1
Pm3 Pm 0.0000 0.0000 0.4076 1
Ag1 Ag 0.5000 0.5000 0.1017 1
Ag2 Ag 0.5000 0.5000 0.3041 1
Pd1 Pd 0.5000 0.5000 0.5000 1

[8]
# Pm3Ag2Pd, optimized geometry, DFT PBE
# V	25.1	Å³ per atom
# total energy	-4.623	eV per atom
data_Pm3Ag2Pd
_cell_length_a 3.6674
_cell_length_b 3.6674
_cell_length_c 11.1923
_cell_angle_alpha 90.00
_cell_angle_beta 90.00
_cell_angle_gamma 90.00
_space_group_name_H-M_alt 'P 4/m m m'
_space_group_IT_number 123
_space_group_name_Hall '-P 4 2'
loop_
_atom_site_label
_atom_site_type_symbol
_atom_site_fract_x
_atom_site_fract_y
_atom_site_fract_z
_atom_site_occupancy
Pm1 Pm 0.0000 0.0000 0.0000 1
Pm2 Pm 0.0000 0.0000 0.3440 1
Ag1 Ag 0.5000 0.5000 0.1694 1
Pd1 Pd 0.5000 0.5000 0.5000 1

Which formula does entry 7 have? Pm5Ag4Pd

V of number 8 (Pm3Ag2Pd)? 25.1 Å³ per atom